[1]
DFT (PBEsol) results for a relaxed LiCuSe2Cl crystal.

The structure in POSCAR format:
```
LiCuSe2Cl
1.0
-1.453 4.298 1.105
-2.832 -0.003 -3.713
-3.651 -1.951 2.786
Se Cu Cl Li
2 1 1 1
direct
0.500 0.000 0.000
0.000 0.500 0.000
0.000 0.000 0.000
0.000 0.000 0.500
0.500 0.500 0.500
```

Values from the calculation:
raw formation energy = -15 kJ per mole of atoms
symmetry = P4/mmm (123)

***

[2]
DFT (PBEsol) results for a relaxed AlZn2Hg crystal.

The structure in POSCAR format:
```
AlZn2Hg
1.0
4.060 0.000 0.000
0.000 4.064 0.000
0.000 0.000 4.064
Zn Al Hg
2 1 1
direct
0.000 0.500 0.000
0.000 0.000 0.500
0.500 0.500 0.500
0.500 0.000 0.000
```

Values from the calculation:
DFT formation energy = 0.091 eV per atom
symmetry = P4/mmm (123)
ΔE to the lowest computed polymorph = 31 meV/atom

***

[3]
DFT (PBEsol) results for a relaxed BeAs2Ir crystal.

The structure in POSCAR format:
```
BeAs2Ir
1.0
-3.116 0.707 0.064
-0.643 -3.085 2.761
0.699 2.785 3.274
Ir As Be
1 2 1
direct
0.000 0.500 0.500
0.000 0.000 0.000
0.500 0.500 0.000
0.500 0.000 0.500
```

Values from the calculation:
DFT formation energy = 0.399 eV per atom
symmetry = Pmmm (47)

***

[4]
DFT (PBEsol) results for a relaxed BeCu7 crystal.

The structure in POSCAR format:
```
BeCu7
1.0
4.985 0.000 0.000
2.493 4.317 0.000
2.493 1.439 4.070
Cu Be
7 1
direct
0.500 0.500 0.000
0.000 0.500 0.000
0.000 0.500 0.500
0.000 0.000 0.500
0.500 0.000 0.000
0.500 0.500 0.500
0.500 0.000 0.500
0.000 0.000 0.000
```

Values from the calculation:
DFT formation energy = 0.001 eV per atom
symmetry = Fm-3m (225)